[1]
Compound: HfZr2ScH
Source: Alexandria via LeMat-Bulk
Functional: PBE-GGA
Structure: relaxed

excess energy over the best structure of this formula in the dataset	18.18	kcal/mol of atoms

```
data_HfZr2ScH
_chemical_formula_sum 'Hf1 Zr2 Sc1 H1'
_symmetry_space_group_name_H-M 'P 4/m m m'
_symmetry_Int_Tables_number 123
_symmetry_space_group_name_Hall '-P 4 2'
_cell_length_a 5.5482
_cell_length_b 5.5482
_cell_length_c 3.3393
_cell_angle_alpha 90.00
_cell_angle_beta 90.00
_cell_angle_gamma 90.00
loop_
_atom_site_label
_atom_site_type_symbol
_atom_site_fract_x
_atom_site_fract_y
_atom_site_fract_z
Hf1 Hf 0.0000 0.0000 0.0000
Zr1 Zr 0.0000 0.5000 0.5000
Sc1 Sc 0.5000 0.5000 0.5000
H1 H 0.5000 0.5000 0.0000
```

[2]
Compound: Zr2AlNi8
Source: Alexandria via LeMat-Bulk
Functional: PBE-GGA
Structure: relaxed

energy of formation from the pure elements	-0.32	eV per atom

```
data_Zr2AlNi8
_chemical_formula_sum 'Zr2 Al1 Ni8'
_symmetry_space_group_name_H-M 'P 4/m m m'
_symmetry_Int_Tables_number 123
_symmetry_space_group_name_Hall '-P 4 2'
_cell_length_a 3.7455
_cell_length_b 3.7455
_cell_length_c 10.5186
_cell_angle_alpha 90.00
_cell_angle_beta 90.00
_cell_angle_gamma 90.00
loop_
_atom_site_label
_atom_site_type_symbol
_atom_site_fract_x
_atom_site_fract_y
_atom_site_fract_z
Zr1 Zr 0.0000 0.0000 0.1808
Al1 Al 0.0000 0.0000 0.5000
Ni1 Ni 0.0000 0.5000 0.0000
Ni2 Ni 0.0000 0.5000 0.3569
Ni3 Ni 0.5000 0.5000 0.1783
```

[3]
Compound: MgPaS4
Source: Alexandria via LeMat-Bulk
Functional: PBE-GGA
Structure: relaxed

raw formation energy	-1078	meV per atom
excess energy over the best structure of this formula in the dataset	0.88	kcal/mol of atoms

```
data_MgPaS4
_chemical_formula_sum 'Mg4 Pa4 S16'
_symmetry_space_group_name_H-M 'I 41/a m d'
_symmetry_Int_Tables_number 141
_cell_length_a 8.3089
_cell_length_b 8.3089
_cell_length_c 8.6862
_cell_angle_alpha 90.00
_cell_angle_beta 90.00
_cell_angle_gamma 90.00
loop_
_symmetry_equiv_pos_as_xyz
'x,y,z'
'-x,-y,-z'
'-y+1/4,x+3/4,z+1/4'
'y+1/4,-x+3/4,-z+1/4'
'-x+1/2,-y,z+1/2'
'x+1/2,y,-z+1/2'
'y+1/4,-x+1/4,z+3/4'
'-y+1/4,x+1/4,-z+3/4'
'x,-y,-z'
'-x,y,z'
'-y+1/4,-x+1/4,-z+3/4'
'y+1/4,x+1/4,z+3/4'
'-x+1/2,y,-z+1/2'
'x+1/2,-y,z+1/2'
'y+1/4,x+3/4,-z+1/4'
'-y+1/4,-x+3/4,z+1/4'
'x+1/2,y+1/2,z+1/2'
'-x+1/2,-y+1/2,-z+1/2'
'-y+3/4,x+1/4,z+3/4'
'y+3/4,-x+1/4,-z+3/4'
'-x,-y+1/2,z'
'x,y+1/2,-z'
'y+3/4,-x+3/4,z+1/4'
'-y+3/4,x+3/4,-z+1/4'
'x+1/2,-y+1/2,-z+1/2'
'-x+1/2,y+1/2,z+1/2'
'-y+3/4,-x+3/4,-z+1/4'
'y+3/4,x+3/4,z+1/4'
'-x,y+1/2,-z'
'x,-y+1/2,z'
'y+3/4,x+1/4,-z+3/4'
'-y+3/4,-x+1/4,z+3/4'
loop_
_atom_site_label
_atom_site_type_symbol
_atom_site_fract_x
_atom_site_fract_y
_atom_site_fract_z
Mg1 Mg 0.0000 0.2500 0.3750
Pa1 Pa 0.0000 0.2500 0.8750
S1 S 0.0000 0.0695 0.1581
```

[4]
Compound: BaAl3Au6
Source: Alexandria via LeMat-Bulk
Functional: PBE-GGA
Structure: relaxed

energy of formation from the pure elements	-0.40	eV per atom

```
data_BaAl3Au6
_chemical_formula_sum 'Ba2 Al6 Au12'
_symmetry_space_group_name_H-M 'P 1 21/c 1'
_symmetry_Int_Tables_number 14
_cell_length_a 7.3609
_cell_length_b 7.1889
_cell_length_c 9.1486
_cell_angle_alpha 90.00
_cell_angle_beta 121.51
_cell_angle_gamma 90.00
loop_
_symmetry_equiv_pos_as_xyz
'x,y,z'
'-x,-y,-z'
'-x,y+1/2,-z+1/2'
'x,-y+1/2,z+1/2'
loop_
_atom_site_label
_atom_site_type_symbol
_atom_site_fract_x
_atom_site_fract_y
_atom_site_fract_z
Ba1 Ba 0.0000 0.0000 0.0000
Al1 Al 0.2714 0.1595 0.4212
Al2 Al 0.5000 0.0000 0.0000
Au1 Au 0.1221 0.0247 0.6925
Au2 Au 0.2746 0.6911 0.9047
Au3 Au 0.4587 0.2182 0.2327
```

[5]
Compound: Tl3Tc2BiO9
Source: Alexandria via LeMat-Bulk
Functional: PBE-GGA
Structure: relaxed

raw formation energy	-1057	meV per atom

```
data_Tl3Tc2BiO9
_chemical_formula_sum 'Tl3 Tc2 Bi1 O9'
_symmetry_space_group_name_H-M 'P -3 m 1'
_symmetry_Int_Tables_number 164
_symmetry_space_group_name_Hall '-P 3 2"'
_cell_length_a 5.8643
_cell_length_b 5.8643
_cell_length_c 7.3199
_cell_angle_alpha 90.00
_cell_angle_beta 90.00
_cell_angle_gamma 120.00
loop_
_atom_site_label
_atom_site_type_symbol
_atom_site_fract_x
_atom_site_fract_y
_atom_site_fract_z
Tl1 Tl 0.0000 0.0000 0.0000
Tl2 Tl 0.3333 0.6667 0.6669
Tc1 Tc 0.3333 0.6667 0.1520
Bi1 Bi 0.0000 0.0000 0.5000
O1 O 0.0000 0.5000 0.0000
O2 O 0.1811 0.3621 0.3007
```

[6]
Compound: ZnInRe2Cl
Source: Alexandria via LeMat-Bulk
Functional: PBE-GGA
Structure: relaxed

raw formation energy	2243	meV per atom

```
data_ZnInRe2Cl
_chemical_formula_sum 'Zn1 In1 Re2 Cl1'
_symmetry_space_group_name_H-M 'P 4/m m m'
_symmetry_Int_Tables_number 123
_symmetry_space_group_name_Hall '-P 4 2'
_cell_length_a 5.4068
_cell_length_b 5.4068
_cell_length_c 5.1418
_cell_angle_alpha 90.00
_cell_angle_beta 90.00
_cell_angle_gamma 90.00
loop_
_atom_site_label
_atom_site_type_symbol
_atom_site_fract_x
_atom_site_fract_y
_atom_site_fract_z
Zn1 Zn 0.0000 0.0000 0.0000
In1 In 0.0000 0.0000 0.5000
Re1 Re 0.0000 0.5000 0.5000
Cl1 Cl 0.5000 0.5000 0.0000
```

[7]
Compound: TbCeZn2
Source: Alexandria via LeMat-Bulk
Functional: PBE-GGA
Structure: relaxed

energy of formation from the pure elements	-0.05	eV per atom

```
data_TbCeZn2
_chemical_formula_sum 'Tb3 Ce3 Zn6'
_symmetry_space_group_name_H-M 'R -3 m'
_symmetry_Int_Tables_number 166
_symmetry_space_group_name_Hall '-R 3 2"'
_cell_length_a 3.4904
_cell_length_b 3.4904
_cell_length_c 28.1394
_cell_angle_alpha 90.00
_cell_angle_beta 90.00
_cell_angle_gamma 120.00
loop_
_atom_site_label
_atom_site_type_symbol
_atom_site_fract_x
_atom_site_fract_y
_atom_site_fract_z
Tb1 Tb 0.0000 0.0000 0.0000
Ce1 Ce 0.0000 0.0000 0.5000
Zn1 Zn 0.0000 0.0000 0.2522
```

[8]
Compound: BaNbBr3
Source: Alexandria via LeMat-Bulk
Functional: PBE-GGA
Structure: relaxed

raw formation energy	-765	meV per atom
excess energy over the best structure of this formula in the dataset	0.00	kcal/mol of atoms

```
data_BaNbBr3
_chemical_formula_sum 'Ba1 Nb1 Br3'
_symmetry_space_group_name_H-M 'P m -3 m'
_symmetry_Int_Tables_number 221
_symmetry_space_group_name_Hall '-P 4 2 3'
_cell_length_a 5.4057
_cell_length_b 5.4057
_cell_length_c 5.4057
_cell_angle_alpha 90.00
_cell_angle_beta 90.00
_cell_angle_gamma 90.00
loop_
_atom_site_label
_atom_site_type_symbol
_atom_site_fract_x
_atom_site_fract_y
_atom_site_fract_z
Ba1 Ba 0.0000 0.0000 0.0000
Nb1 Nb 0.5000 0.5000 0.5000
Br1 Br 0.0000 0.5000 0.5000
```

The evaluated density of states at the Fermi level for the records listed, in turn: 8.79; 4.32; 30.92; 7.46; 7.44; 4.10; 19.13; 3.26 states/eV per cell.